# Rb2MgIn3Bi4 (PBE, relaxed)
data_Rb2MgIn3Bi4
_chemical_formula_sum 'Rb2 Mg1 In3 Bi4'
_cell_length_a 5.097
_cell_length_b 5.097
_cell_length_c 14.083
_cell_angle_alpha 90.00
_cell_angle_beta 90.00
_cell_angle_gamma 90.00
_space_group_name_H-M_alt 'P 1'
_space_group_IT_number 1
loop_
_space_group_symop_operation_xyz
'x,y,z'
loop_
_atom_site_label
_atom_site_type_symbol
_atom_site_fract_x
_atom_site_fract_y
_atom_site_fract_z
Rb1 Rb 0.500 0.000 0.249
Rb2 Rb 0.000 0.500 0.751
Mg1 Mg 0.500 0.500 0.500
In1 In 0.000 0.000 0.500
In2 In 0.500 0.000 0.862
In3 In 0.000 0.500 0.138
Bi1 Bi 0.500 0.500 0.000
Bi2 Bi 0.000 0.000 0.000
Bi3 Bi 0.500 0.000 0.627
Bi4 Bi 0.000 0.500 0.373
# Crystal system: tetragonal
# Energy of formation: -0.21 eV/atom